PBE Pm3Sm6Dy2Er, optimized geometry; DFT formation energy = 18 kJ/mol of formula units; total energy = -0.3439 Ry/atom
1.0
3.128 -5.417 0.000
3.128 5.417 0.000
-2.084 0.000 11.769
Pm Sm Dy Er
3 6 2 1
direct
0.000 0.000 0.000
0.333 0.667 0.000
0.667 0.333 0.000
0.084 0.417 0.253
0.249 0.249 0.747
0.417 0.084 0.253
0.583 0.916 0.747
0.751 0.751 0.253
0.916 0.583 0.747
0.167 0.833 0.500
0.833 0.167 0.500
0.500 0.500 0.500